Entry 1:
Here is PrAgSn2 after structural relaxation from Alexandria via LeMat-Bulk. Energies are from PBE.

Output
The density of states at the Fermi level is 0.4933 states/eV/atom. The value obtained for the volume is 25.8 Å³ per atom. As for the energy of formation from the pure elements: -477.4 meV per atom.

Lattice parameters (Å, degrees): 4.550 4.550 9.974 90.00 90.00 90.00
Positions (direct):
Sn1 0.500 0.500 0.500
Pr1 0.500 0.000 0.756
Sn2 0.000 0.500 0.815
Ag1 0.000 0.000 0.000
Sn3 0.500 0.000 0.185
Ag2 0.500 0.500 0.000
Pr2 0.000 0.500 0.244
Sn4 0.000 0.000 0.500



Entry 2:
Here is PrAgSn after structural relaxation from Alexandria via LeMat-Bulk. Energies are from PBE.

Output
The density of states at the Fermi level is 0.1160 states/eV/atom. The value obtained for the volume is 26.1 Å³ per atom. As for the energy of formation from the pure elements: -619.0 meV per atom.

Lattice parameters (Å, degrees): 4.835 4.835 7.722 90.00 90.00 120.00
Positions (direct):
Ag1 0.667 0.333 0.284
Sn1 0.667 0.333 0.704
Pr1 0.000 0.000 0.983
Ag2 0.333 0.667 0.784
Sn2 0.333 0.667 0.204
Pr2 0.000 0.000 0.483



Entry 3:
Here is Pr12Ag6Sn after structural relaxation from Alexandria via LeMat-Bulk. Energies are from PBE.

Output
The density of states at the Fermi level is 0.9542 states/eV/atom. The value obtained for the volume is 28.6 Å³ per atom. As for the energy of formation from the pure elements: -146.6 meV per atom.

Lattice parameters (Å, degrees): 9.113 9.113 9.113 111.15 111.15 111.15
Positions (direct):
Pr1 0.739 0.111 0.175
Pr2 0.175 0.739 0.111
Pr3 0.658 0.523 0.806
Ag1 0.347 0.050 0.577
Pr4 0.194 0.342 0.477
Pr5 0.261 0.889 0.825
Ag2 0.577 0.347 0.050
Pr6 0.477 0.194 0.342
Ag3 0.423 0.653 0.950
Pr7 0.523 0.806 0.658
Pr8 0.342 0.477 0.194
Ag4 0.050 0.577 0.347
Pr9 0.825 0.261 0.889
Pr10 0.111 0.175 0.739
Sn1 0.000 0.000 0.000
Pr11 0.889 0.825 0.261
Pr12 0.806 0.658 0.523
Ag5 0.653 0.950 0.423
Ag6 0.950 0.423 0.653



Entry 4:
Here is Pr8Ag3Sn2 after structural relaxation from Alexandria via LeMat-Bulk. Energies are from PBE.

Output
The density of states at the Fermi level is 1.5247 states/eV/atom. The value obtained for the volume is 32.8 Å³ per atom. As for the energy of formation from the pure elements: -226.9 meV per atom.

Lattice parameters (Å, degrees): 5.240 10.418 9.388 123.78 90.00 90.00
Each line ends with the local moment (μB).
Positions (direct):
Sn1 0.500 0.251 0.501  0.00
Ag1 0.000 0.752 0.000  0.01
Pr1 0.000 0.125 0.251  0.04
Pr2 0.000 0.875 0.749  0.04
Pr3 0.000 0.620 0.239  0.08
Pr4 0.000 0.380 0.761  0.08
Ag2 0.500 0.000 0.000  0.00
Ag3 0.000 0.248 0.000  0.01
Pr5 0.500 0.132 0.756  0.05
Pr6 0.500 0.624 0.756  0.05
Pr7 0.500 0.868 0.244  0.05
Pr8 0.500 0.376 0.244  0.05
Sn2 0.500 0.749 0.499  0.00



Entry 5:
Here is Pr6AgSn2 after structural relaxation from Alexandria via LeMat-Bulk. Energies are from PBE.

Output
The density of states at the Fermi level is 1.3841 states/eV/atom. The value obtained for the volume is 32.5 Å³ per atom. As for the energy of formation from the pure elements: -348.2 meV per atom.

Lattice parameters (Å, degrees): 6.421 8.756 10.423 90.00 88.11 90.00
Positions (direct):
Pr1 0.377 0.838 0.051
Pr2 0.898 0.689 0.947
Sn1 0.904 0.380 0.755
Pr3 0.126 0.035 0.775
Pr4 0.874 0.965 0.225
Pr5 0.123 0.338 0.449
Sn2 0.096 0.620 0.245
Pr6 0.398 0.811 0.447
Pr7 0.623 0.162 0.949
Pr8 0.602 0.189 0.553
Sn3 0.404 0.120 0.255
Pr9 0.877 0.662 0.551
Ag1 0.000 0.000 0.500
Pr10 0.102 0.311 0.053
Pr11 0.626 0.465 0.275
Pr12 0.374 0.535 0.725
Sn4 0.596 0.880 0.745
Ag2 0.500 0.500 0.000



Entry 6:
Here is PrAgSn after structural relaxation from Alexandria via LeMat-Bulk. Energies are from PBE.

Output
The density of states at the Fermi level is 0.5544 states/eV/atom. The value obtained for the volume is 25.7 Å³ per atom. As for the energy of formation from the pure elements: -321.7 meV per atom.

Lattice parameters (Å, degrees): 3.616 3.616 6.423 106.35 106.35 90.00
Positions (direct):
Sn1 0.303 0.303 0.605
Ag1 0.937 0.937 0.875
Pr1 0.610 0.610 0.220



Entry 7:
Here is PrAgSn2 after structural relaxation from Alexandria via LeMat-Bulk. Energies are from PBE.

Output
The density of states at the Fermi level is 0.3078 states/eV/atom. The value obtained for the volume is 25.6 Å³ per atom. As for the energy of formation from the pure elements: -485.7 meV per atom.

Lattice parameters (Å, degrees): 4.653 4.653 10.015 103.43 103.43 90.00
Positions (direct):
Sn1 0.500 0.000 0.000
Sn2 0.654 0.654 0.308
Sn3 0.000 0.500 0.000
Ag1 0.250 0.750 0.500
Pr1 0.878 0.878 0.757
Pr2 0.122 0.122 0.243
Sn4 0.346 0.346 0.692
Ag2 0.750 0.250 0.500



Entry 8:
Here is SrPrAgSn after structural relaxation from Alexandria via LeMat-Bulk. Energies are from PBE.

Output
The density of states at the Fermi level is 0.4741 states/eV/atom. The value obtained for the volume is 30.0 Å³ per atom. As for the energy of formation from the pure elements: -498.8 meV per atom.

Lattice parameters (Å, degrees): 5.535 5.535 5.535 60.00 60.00 60.00
Positions (direct):
Sn1 0.250 0.250 0.250
Sr1 0.500 0.500 0.500
Ag1 0.750 0.750 0.750
Pr1 0.000 0.000 0.000



Entry 9:
Here is SrPr2Ag2Sn2 after structural relaxation from Alexandria via LeMat-Bulk. Energies are from PBE.

Output
The density of states at the Fermi level is 0.3739 states/eV/atom. The value obtained for the volume is 29.4 Å³ per atom. As for the energy of formation from the pure elements: -458.3 meV per atom.

Lattice parameters (Å, degrees): 4.906 4.906 10.277 76.19 76.19 60.00
Positions (direct):
Pr1 0.130 0.130 0.611
Ag1 0.592 0.592 0.224
Sr1 0.000 0.000 0.000
Sn1 0.745 0.745 0.765
Sn2 0.255 0.255 0.235
Ag2 0.408 0.408 0.776
Pr2 0.870 0.870 0.389



Entry 10:
Here is TbPrAgSn after structural relaxation from Alexandria via LeMat-Bulk. Energies are from PBE.

Output
The density of states at the Fermi level is 1.1166 states/eV/atom. The value obtained for the volume is 27.1 Å³ per atom. As for the energy of formation from the pure elements: -511.4 meV per atom.

Lattice parameters (Å, degrees): 5.350 5.350 5.350 60.00 60.00 60.00
Positions (direct):
Ag1 0.750 0.750 0.750
Sn1 0.250 0.250 0.250
Pr1 0.500 0.500 0.500
Tb1 0.000 0.000 0.000